Entry from Alexandria: Mg6AlPb2 after structural relaxation (PBE-GGA).

Cell lengths 8.357, 8.357, 4.814 Å; angles 106.67, 106.67, 48.42 degrees
Atoms (fractional coordinates):
Mg 0.082 0.598 0.342
Mg 0.234 0.766 0.000
Mg 0.402 0.918 0.658
Mg 0.598 0.082 0.342
Mg 0.766 0.234 0.000
Mg 0.918 0.402 0.658
Al 0.000 0.000 0.500
Pb 0.333 0.333 0.835
Pb 0.667 0.667 0.165

Properties
Total magnetic moment (μB/f.u.): 0.000
E above lowest polymorph (meV/atom): 39
D(E_F) (states/eV per cell): 2.81